Compound: KYMnWO6
Source: Alexandria via LeMat-Bulk
Functional: PBE with a Hubbard U
Structure: optimized geometry

The value obtained for the total moment is 10.0 μB per cell. The value obtained for the total energy is -0.2783 hartree per atom. The volume comes out at 13.12 Å³/atom.

It has space group P2_1 (No. 4), with a = 5.5525 Å, b = 5.7323 Å, c = 8.2449 Å, α = 90.00°, β = 90.60° and γ = 90.00°. The asymmetric unit holds K at (0.2465, 0.0000, 0.0034), Y at (0.2580, 0.9105, 0.5019), Mn at (0.2519, 0.4679, 0.7521), W at (0.2345, 0.4780, 0.2555), O at (0.0557, 0.8022, 0.7531), O at (0.0743, 0.7762, 0.2432), O at (0.1454, 0.5162, 0.4971), O at (0.2895, 0.4666, 0.0309), O at (0.4340, 0.2041, 0.3214) and O at (0.4739, 0.1695, 0.6769).